NiSbAu2 | PBE | relaxed

Output
The calculation puts the magnetic moment at 0.000 μB per formula unit. Its density of states at the Fermi level is 2.74 states/eV/cell. Its uncorrected formation energy is 0.142 eV/atom.

```
data_NiSbAu2
_space_group_name_H-M_alt 'P 4/m m m'
_space_group_IT_number 123
_space_group_name_Hall '-P 4 2'
_cell_length_a 3.2010
_cell_length_b 3.2010
_cell_length_c 7.1773
_cell_angle_alpha 90.00
_cell_angle_beta 90.00
_cell_angle_gamma 90.00
loop_
_atom_site_label
_atom_site_fract_x
_atom_site_fract_y
_atom_site_fract_z
Ni1 0.0000 0.0000 0.0000
Sb1 0.0000 0.0000 0.5000
Au1 0.5000 0.5000 0.2036
```

***

NiSbAu | PBE | relaxed

Output
The calculation puts the magnetic moment at 0.000 μB per formula unit. Its density of states at the Fermi level is 2.70 states/eV/cell. Its uncorrected formation energy is -0.013 eV/atom.

```
data_NiSbAu
_space_group_name_H-M_alt 'P -1'
_space_group_IT_number 2
_cell_length_a 3.2392
_cell_length_b 5.7931
_cell_length_c 6.6626
_cell_angle_alpha 70.84
_cell_angle_beta 89.57
_cell_angle_gamma 75.00
loop_
_space_group_symop_operation_xyz
'x,y,z'
'-x,-y,-z'
loop_
_atom_site_label
_atom_site_fract_x
_atom_site_fract_y
_atom_site_fract_z
Ni1 0.0983 0.2839 0.4719
Sb1 0.4299 0.6619 0.2386
Au1 0.3340 0.8502 0.7902
```